LaCrSe2 | PBEsol | optimized geometry

Summary:
**Relative energy among the computed polymorphs**: 0.104 eV per formula unit
**Uncorrected formation energy**: -0.99 eV per atom
**Space-group type**: P4mm

a b c (Å): 4.111 4.111 5.776
angles (deg): 90.00 90.00 90.00
Atoms (fractional coordinates):
1 La 0.000 0.000 0.000
2 Cr 0.500 0.500 0.502
3 Se 0.000 0.000 0.500
4 Se 0.500 0.500 0.001